Material: KBaCo2Br8
Method: DFT, PBE-GGA
State: relaxed

a b c (Å): 7.099 7.099 10.820
angles (deg): 70.85 70.85 60.00
Last column: magnetic moment on the atom in μB.
Atoms (fractional coordinates):
Br: 0.166 0.166 0.501  0.21
Br: 0.315 0.933 0.192  0.14
Br: 0.439 0.685 0.808  0.14
Br: 0.834 0.834 0.499  0.21
Br: 0.561 0.315 0.192  0.14
Br: 0.067 0.439 0.808  0.14
Br: 0.933 0.561 0.192  0.14
Br: 0.685 0.067 0.808  0.14
K: 0.500 0.500 0.500  0.00
Co: 0.244 0.244 0.269  2.50
Co: 0.756 0.756 0.731  2.50
Ba: 0.000 0.000 0.000  0.01

Results
total magnetization	0.5833	μB/atom
total DFT energy (no corrections)	-42.41	eV/cell
DOS(E_F)	14.12	states/eV/cell
space group	R-3 (148)

***

Material: Ba2CoBrN
Method: DFT, PBE-GGA
State: relaxed

a b c (Å): 5.833 5.833 3.601
angles (deg): 90.00 90.00 90.00
Atoms (fractional coordinates):
N: 0.000 0.000 0.000
Ba: 0.000 0.500 0.000
Ba: 0.500 0.000 0.000
Br: 0.500 0.500 0.500
Co: 0.000 0.000 0.500

Results
total magnetization	0.0000	μB/atom
total DFT energy (no corrections)	-25.25	eV/cell
DOS(E_F)	1.27	states/eV/cell
space group	P4/mmm (123)